Entry 1:
Ac8TcGe2 | PBE | optimized geometry

Properties
As for the total magnetic moment: 0.0000 μB/atom. Its formation energy is -206 meV/atom. The calculation puts the density of states at the Fermi level at 1.088 states/eV/atom.

Unit cell a=11.619 b=11.619 c=8.300 alpha=94.44 beta=94.44 gamma=22.26
Atoms (fractional coordinates):
Ac1 0.008 0.008 0.229
Ac2 0.233 0.233 0.698
Ac3 0.371 0.371 0.967
Ac4 0.402 0.402 0.463
Ac5 0.598 0.598 0.537
Ac6 0.629 0.629 0.033
Ac7 0.767 0.767 0.302
Ac8 0.992 0.992 0.771
Tc1 0.500 0.500 0.000
Ge1 0.163 0.163 0.336
Ge2 0.837 0.837 0.664

---

Entry 2:
Sm3Te2C | PBE | optimized geometry

Properties
As for the total magnetic moment: 0.0000 μB/atom. For the distance to the lowest polymorph of the same formula, the calculation gives 0 meV per atom. The uncorrected formation energy comes out at -1002 meV per atom. The calculation puts the density of states at the Fermi level at 0.322 states/eV/atom.

Unit cell a=13.676 b=13.032 c=7.367 alpha=78.87 beta=69.22 gamma=31.91
Atoms (fractional coordinates):
Sm1 0.038 0.525 0.171
Sm2 0.070 0.680 0.680
Sm3 0.171 0.766 0.038
Sm4 0.234 0.829 0.475
Sm5 0.320 0.930 0.930
Sm6 0.475 0.962 0.234
Sm7 0.525 0.038 0.766
Sm8 0.680 0.070 0.070
Sm9 0.766 0.171 0.525
Sm10 0.829 0.234 0.962
Sm11 0.930 0.320 0.320
Sm12 0.962 0.475 0.829
Te1 0.131 0.131 0.619
Te2 0.298 0.298 0.452
Te3 0.381 0.381 0.869
Te4 0.452 0.452 0.298
Te5 0.548 0.548 0.702
Te6 0.619 0.619 0.131
Te7 0.702 0.702 0.548
Te8 0.869 0.869 0.381
C1 0.040 0.040 0.210
C2 0.210 0.210 0.040
C3 0.790 0.790 0.960
C4 0.960 0.960 0.790

---

Entry 3:
Pu5AgGe4 | PBE | optimized geometry

Properties
As for the total magnetic moment: 1.7039 μB/atom. Its formation energy is -322 meV/atom. The calculation puts the density of states at the Fermi level at 3.641 states/eV/atom.

Unit cell a=3.858 b=3.858 c=14.690 alpha=90.00 beta=90.00 gamma=90.00
Atoms (fractional coordinates):
Pu1 0.000 0.000 0.000
Pu2 0.000 0.000 0.189
Pu3 0.000 0.000 0.387
Pu4 0.000 0.000 0.613
Pu5 0.000 0.000 0.811
Ag1 0.500 0.500 0.500
Ge1 0.500 0.500 0.096
Ge2 0.500 0.500 0.287
Ge3 0.500 0.500 0.713
Ge4 0.500 0.500 0.904

---

Entry 4:
Cs2Rb5Li | PBE | optimized geometry

Properties
As for the total magnetic moment: 0.0000 μB/atom. Its formation energy is 115 meV/atom. The calculation puts the density of states at the Fermi level at 0.781 states/eV/atom.

Unit cell a=11.297 b=11.297 c=11.297 alpha=130.91 beta=130.91 gamma=71.96
Atoms (fractional coordinates):
Cs1 0.000 0.500 0.500
Cs2 0.500 0.000 0.500
Rb1 0.019 0.019 0.491
Rb2 0.019 0.527 0.000
Rb3 0.093 0.093 0.000
Rb4 0.527 0.019 0.000
Rb5 0.527 0.527 0.509
Li1 0.895 0.895 0.000

---

Entry 5:
TeRhI | PBE | optimized geometry

Properties
As for the total magnetic moment: 0.0000 μB/atom. The uncorrected formation energy comes out at -324 meV per atom.

Unit cell a=3.931 b=3.931 c=6.786 alpha=90.00 beta=90.00 gamma=120.00
Atoms (fractional coordinates):
Te1 0.000 0.000 0.000
Rh1 0.333 0.667 0.799
I1 0.667 0.333 0.566

---

Entry 6:
La3CCl2 | PBE | optimized geometry

Properties
As for the total magnetic moment: 0.0000 μB/atom. For the distance to the lowest polymorph of the same formula, the calculation gives 0 meV per atom. The uncorrected formation energy comes out at -1229 meV per atom. The calculation puts the density of states at the Fermi level at 0.394 states/eV/atom.

Unit cell a=6.881 b=6.881 c=7.511 alpha=98.78 beta=98.78 gamma=120.00
Atoms (fractional coordinates):
La1 0.074 0.433 0.798
La2 0.209 0.209 0.200
La3 0.433 0.074 0.798
La4 0.567 0.926 0.202
La5 0.791 0.791 0.800
La6 0.926 0.567 0.202
C1 0.166 0.834 0.000
C2 0.834 0.166 0.000
Cl1 0.000 0.000 0.500
Cl2 0.336 0.664 0.500
Cl3 0.500 0.500 0.000
Cl4 0.664 0.336 0.500

---

> The highest total magnetic moment belongs to which entry?

Pu5AgGe4

---

> Look up the total magnetic moment of the third one.

1.7039 μB/atom